# Li2CoHgF6 | Alexandria via LeMat-Bulk | PBE+U | relaxed
# Excess energy over the best structure of this formula in the dataset   408 meV per atom
# Mass density   4.1 g/cm³
data_Li2CoHgF6
_chemical_formula_sum 'Li8 Co4 Hg4 F24'
_space_group_name_H-M_alt 'F m -3 m'
_space_group_IT_number 225
_space_group_name_Hall '-F 4 2 3'
_cell_length_a 8.565
_cell_length_b 8.565
_cell_length_c 8.565
_cell_angle_alpha 90.00
_cell_angle_beta 90.00
_cell_angle_gamma 90.00
loop_
_atom_site_label
_atom_site_fract_x
_atom_site_fract_y
_atom_site_fract_z
_atom_site_occupancy
Li1 0.250 0.250 0.250 1
Co1 0.000 0.000 0.000 1
Hg1 0.000 0.000 0.500 1
F1 0.000 0.000 0.234 1